No. 1
LuBeCoSb | OQMD via LeMat-Bulk | PBE-GGA | relaxed; final energy = -4.73 eV per atom; SG = F-43m
1.0
0.000 3.239 3.239
3.239 0.000 3.239
3.239 3.239 0.000
Lu Be Co Sb
1 1 1 1
Cartesian
0.000 0.000 0.000
4.858 4.858 4.858
3.239 3.239 3.239
1.619 1.619 1.619


No. 2
GdCd | OQMD via LeMat-Bulk | PBE-GGA | relaxed; energy of formation = 0.688 eV/atom; SG = F-43m
1.0
0.000 3.399 3.399
3.399 0.000 3.399
3.399 3.399 0.000
Gd Cd
1 1
Cartesian
0.000 0.000 0.000
1.699 1.699 1.699


No. 3
HoN2 | OQMD via LeMat-Bulk | PBE-GGA | relaxed; final energy = -5.92 eV per atom; SG = Fd-3m
1.0
0.000 3.193 3.193
3.193 0.000 3.193
3.193 3.193 0.000
Ho N
2 4
Cartesian
0.798 0.798 0.798
5.588 5.588 5.588
3.193 1.597 1.597
1.597 3.193 1.597
1.597 1.597 3.193
3.193 3.193 3.193


No. 4
TaBeAl | OQMD via LeMat-Bulk | PBE-GGA | relaxed; final energy = -6.76 eV per atom; SG = Amm2
1.0
7.945 0.000 0.000
0.000 2.458 4.178
0.000 -2.458 4.178
Ta Be Al
4 4 4
Cartesian
1.436 0.000 0.000
2.438 0.000 5.594
5.507 0.000 5.594
6.509 0.000 0.000
0.000 0.000 4.333
0.000 -1.079 6.200
0.000 1.079 6.200
3.973 0.000 1.414
1.798 0.000 2.758
3.973 -1.254 3.549
3.973 1.254 3.549
6.148 0.000 2.758


No. 5
Ag6SeO8 | OQMD via LeMat-Bulk | PBE-GGA | relaxed; final energy = -4.16 eV per atom; SG = Fm-3m
1.0
0.000 4.644 4.644
4.644 0.000 4.644
4.644 4.644 0.000
Ag Se O
6 1 8
Cartesian
2.322 2.322 0.000
2.322 0.000 2.322
4.644 2.322 2.322
0.000 2.322 2.322
2.322 4.644 2.322
2.322 2.322 4.644
0.000 0.000 0.000
4.644 4.644 1.856
4.644 1.856 4.644
7.432 4.644 4.644
2.322 2.322 2.322
6.966 6.966 6.966
1.856 4.644 4.644
4.644 7.432 4.644
4.644 4.644 7.432


No. 6
Nb3TlB4 | OQMD via LeMat-Bulk | PBE-GGA | relaxed; final energy = -7.87 eV per atom; SG = Pmmm
1.0
3.075 0.000 0.000
0.000 3.219 0.000
0.000 0.000 10.048
Nb Tl B
3 1 4
Cartesian
0.000 0.000 0.000
1.537 0.000 2.710
1.537 0.000 7.338
0.000 1.609 5.024
0.000 1.609 1.817
0.000 1.609 8.231
1.537 1.609 0.956
1.537 1.609 9.092


No. 7
TcGeTe4 | OQMD via LeMat-Bulk | PBE-GGA | relaxed; final energy = -4.59 eV per atom; SG = Cmc2_1
1.0
1.983 -7.990 0.000
1.983 7.990 0.000
0.000 0.000 10.605
Tc Ge Te
2 2 8
Cartesian
1.983 5.543 5.302
1.983 -5.543 0.000
1.983 3.722 7.197
1.983 -3.722 1.894
1.983 6.082 2.480
1.983 4.256 9.899
1.983 1.874 1.945
1.983 0.499 10.028
1.983 -0.499 4.725
1.983 -1.874 7.247
1.983 -4.256 4.597
1.983 -6.082 7.783


No. 8
InSiHg | OQMD via LeMat-Bulk | PBE-GGA | relaxed; final energy = -2.52 eV per atom; SG = F-43m
1.0
0.000 3.330 3.330
3.330 0.000 3.330
3.330 3.330 0.000
In Si Hg
1 1 1
Cartesian
0.000 0.000 0.000
4.995 4.995 4.995
3.330 3.330 3.330


Question: What is the formula in the third record?
Answer: HoN2